Entry 1:
! MnFeRe (GGA-PBE, optimized geometry); values from VASP
&SYSTEM
  ibrav = 0, nat = 3, ntyp = 3
/
ATOMIC_SPECIES
Mn 54.94 Mn.upf
Fe 55.84 Fe.upf
Re 186.21 Re.upf
CELL_PARAMETERS angstrom
4.1470 0.0000 0.0000
-2.0735 3.5914 0.0000
0.0000 0.0000 2.5758
ATOMIC_POSITIONS crystal
Mn 0.0000 0.0000 0.0000
Fe 0.3333 0.6667 0.6982
Re 0.6667 0.3333 0.3510
! **Total moment**: 1.3694 μB/atom
! **Calculated formation energy**: 0.0395 eV/atom
! **SG**: P3m1 (156)
! **ΔE to the lowest computed polymorph**: 0.062 eV per atom
! **E_tot**: -9.987 eV per atom

Entry 2:
! BaZnOsO6 (GGA-PBE, optimized geometry); values from VASP
&SYSTEM
  ibrav = 0, nat = 9, ntyp = 4
/
ATOMIC_SPECIES
Ba 137.33 Ba.upf
Zn 65.41 Zn.upf
Os 190.23 Os.upf
O 16.00 O.upf
CELL_PARAMETERS angstrom
2.6681 -4.7722 0.0000
2.6681 4.7722 0.0000
-0.1958 0.0000 5.5840
ATOMIC_POSITIONS crystal
Ba 0.0000 0.0000 0.0000
Zn 0.6477 0.3523 0.5000
Os 0.3211 0.6789 0.5000
O 0.0294 0.4462 0.2829
O 0.3381 0.4092 0.6850
O 0.3704 0.0017 0.3182
O 0.5538 0.9706 0.7171
O 0.5908 0.6619 0.3150
O 0.9983 0.6296 0.6818
! **Total moment**: 0.0000 μB/atom
! **ΔE_f (raw)**: -1473 meV per atom
! **SG**: C2 (5)
! **E_tot**: -6.381 eV per atom

Entry 3:
! TaTcAu (GGA-PBE, optimized geometry); values from VASP
&SYSTEM
  ibrav = 0, nat = 3, ntyp = 3
/
ATOMIC_SPECIES
Ta 180.95 Ta.upf
Tc 98.00 Tc.upf
Au 196.97 Au.upf
CELL_PARAMETERS angstrom
4.6110 0.0000 0.0000
-2.3055 3.9933 0.0000
0.0000 0.0000 2.7291
ATOMIC_POSITIONS crystal
Ta 0.0000 0.0000 0.0000
Tc 0.3333 0.6667 0.2830
Au 0.6667 0.3333 0.6965
! **Total moment**: 0.0000 μB/atom
! **Calculated formation energy**: 0.0948 eV/atom
! **SG**: P3m1 (156)
! **ΔE to the lowest computed polymorph**: 0.115 eV per atom
! **E_tot**: -8.404 eV per atom

Entry 4:
! RbNaAl2Sn (GGA-PBE, optimized geometry); values from VASP
&SYSTEM
  ibrav = 0, nat = 5, ntyp = 4
/
ATOMIC_SPECIES
Rb 85.47 Rb.upf
Na 22.99 Na.upf
Al 26.98 Al.upf
Sn 118.71 Sn.upf
CELL_PARAMETERS angstrom
5.5523 0.0000 0.0000
0.0000 5.5523 0.0000
0.0000 0.0000 5.6358
ATOMIC_POSITIONS crystal
Rb 0.0000 0.0000 0.0000
Na 0.5000 0.5000 0.5000
Al 0.0000 0.5000 0.5000
Al 0.5000 0.0000 0.5000
Sn 0.5000 0.5000 0.0000
! **Total moment**: 0.0000 μB/atom
! **Calculated formation energy**: 0.6489 eV/atom
! **SG**: P4/mmm (123)
! **E_tot**: -2.106 eV per atom

Entry 5:
! Ac5Ge5Rh2 (GGA-PBE, optimized geometry); values from VASP
&SYSTEM
  ibrav = 0, nat = 12, ntyp = 3
/
ATOMIC_SPECIES
Ac 227.00 Ac.upf
Ge 72.64 Ge.upf
Rh 102.91 Rh.upf
CELL_PARAMETERS angstrom
8.0638 -2.2004 0.0000
8.0638 2.2004 0.0000
-7.4502 0.0000 9.3068
ATOMIC_POSITIONS crystal
Ac 0.0000 0.0000 0.0000
Ac 0.3026 0.3026 0.4147
Ac 0.3779 0.3779 0.1816
Ac 0.6221 0.6221 0.8184
Ac 0.6974 0.6974 0.5853
Ge 0.0000 0.0000 0.5000
Ge 0.0617 0.0617 0.3204
Ge 0.2978 0.2978 0.8539
Ge 0.7022 0.7022 0.1461
Ge 0.9383 0.9383 0.6796
Rh 0.3860 0.3860 0.7353
Rh 0.6140 0.6140 0.2647
! **Total moment**: 0.0000 μB/atom
! **Calculated formation energy**: -0.7131 eV/atom
! **SG**: C2/m (12)
! **E_tot**: -5.574 eV per atom

Entry 6:
! InGa2GeO6 (GGA-PBE, optimized geometry); values from VASP
&SYSTEM
  ibrav = 0, nat = 20, ntyp = 4
/
ATOMIC_SPECIES
In 114.82 In.upf
Ga 69.72 Ga.upf
Ge 72.64 Ge.upf
O 16.00 O.upf
CELL_PARAMETERS angstrom
4.9184 -4.6763 0.0000
4.9184 4.6763 0.0000
-0.8707 0.0000 5.3690
ATOMIC_POSITIONS crystal
In 0.0939 0.9061 0.7500
In 0.9061 0.0939 0.2500
Ga 0.2212 0.4031 0.7030
Ga 0.4031 0.2212 0.2030
Ga 0.5969 0.7788 0.7970
Ga 0.7788 0.5969 0.2970
Ge 0.2819 0.7181 0.2500
Ge 0.7181 0.2819 0.7500
O 0.0185 0.2133 0.6347
O 0.1543 0.6291 0.9095
O 0.2133 0.0185 0.1347
O 0.2847 0.4474 0.3799
O 0.3709 0.8457 0.5905
O 0.4474 0.2847 0.8799
O 0.5526 0.7153 0.1201
O 0.6291 0.1543 0.4095
O 0.7153 0.5526 0.6201
O 0.7867 0.9815 0.8653
O 0.8457 0.3709 0.0905
O 0.9815 0.7867 0.3653
! **Total moment**: 0.0000 μB/atom
! **ΔE_f (raw)**: -1560 meV per atom
! **SG**: C2/c (15)
! **E_tot**: -5.876 eV per atom